Record 1
Entry from the Alexandria database: crystalline FeCuPb3 at its relaxed geometry (PBE).

Values from the calculation:
Calculated formation energy   0.54 eV/atom
Energy above the most stable polymorph in this dataset   0 meV per atom
SG   Pm-3m
Crystal system   cubic

abc: 5.0909 5.0909 5.0909
angles: 90.00 90.00 90.00
Closest atoms and distances in Å follow each position.
Atoms (fractional coordinates):
Pb 0.0000 0.5000 0.0000  2 Fe 2.55
Pb 0.0000 0.0000 0.5000  2 Fe 2.55
Cu 0.5000 0.5000 0.5000  12 Pb 3.60
Pb 0.5000 0.0000 0.0000  2 Fe 2.55
Fe 0.0000 0.0000 0.0000  6 Pb 2.55

Record 2
Entry from the Alexandria database: crystalline Fe2CuPb at its relaxed geometry (PBE).

Values from the calculation:
Calculated formation energy   0.71 eV/atom
SG   R-3m
Crystal system   trigonal

abc: 8.6135 8.6135 8.6135
angles: 20.23 20.23 20.23
Closest atoms and distances in Å follow each position.
Atoms (fractional coordinates):
Fe 0.0101 0.0101 0.0101  3 Cu 2.55
Pb 0.2500 0.2500 0.2500  6 Fe 2.94, 6 Pb 3.03
Cu 0.7500 0.7500 0.7500  6 Fe 2.55
Fe 0.4899 0.4899 0.4899  3 Cu 2.55

Record 3
Entry from the Alexandria database: crystalline Fe2CuPb at its relaxed geometry (PBE).

Values from the calculation:
Calculated formation energy   0.44 eV/atom
SG   I-4m2
Crystal system   tetragonal

abc: 4.7389 4.7389 4.7389
angles: 130.37 130.37 72.82
Closest atoms and distances in Å follow each position.
Atoms (fractional coordinates):
Pb 0.5000 0.5000 0.0000  4 Cu 2.76, 8 Fe 2.76-2.81
Cu 0.2500 0.7500 0.5000  4 Pb 2.76, 8 Fe 2.76-2.81
Fe 0.0000 0.0000 0.0000  4 Fe 2.76, 4 Cu 2.76, 4 Pb 2.81
Fe 0.7500 0.2500 0.5000  4 Fe 2.76, 4 Pb 2.76, 4 Cu 2.81

Record 4
Entry from the Alexandria database: crystalline Fe2CuPb at its relaxed geometry (PBE).

Values from the calculation:
Calculated formation energy   0.42 eV/atom
SG   P2/m
Crystal system   monoclinic

abc: 3.7596 3.8973 5.6990
angles: 46.72 90.00 90.00
Closest atoms and distances in Å follow each position.
Atoms (fractional coordinates):
Cu 0.0000 0.0000 0.5000  4 Pb 2.71, 8 Fe 2.80-2.85
Fe 0.5000 0.5000 0.0000  4 Fe 2.71, 4 Cu 2.80, 4 Pb 2.84-2.85
Fe 0.0000 0.0000 0.0000  4 Fe 2.71, 4 Pb 2.80, 4 Cu 2.84-2.85
Pb 0.5000 0.5000 0.5000  4 Cu 2.71, 8 Fe 2.80-2.85

Record 5
Entry from the Alexandria database: crystalline Fe2CuPb at its relaxed geometry (PBE).

Values from the calculation:
Calculated formation energy   0.55 eV/atom
SG   C2/m
Crystal system   monoclinic

abc: 6.1551 4.6841 3.0030
angles: 89.81 61.13 120.15
Closest atoms and distances in Å follow each position.
Atoms (fractional coordinates):
Cu 0.5000 0.5000 0.0000  2 Pb 2.70, 8 Fe 2.78-2.79, 2 Cu 3.00
Fe 0.5000 0.0000 0.5000  4 Fe 2.70-3.00, 4 Cu 2.78-2.79, 4 Pb 2.78-2.79
Pb 0.0000 0.5000 0.5000  2 Cu 2.70, 8 Fe 2.78-2.79, 2 Pb 3.00
Fe 0.0000 0.0000 0.0000  4 Fe 2.70-3.00, 4 Pb 2.78-2.79, 4 Cu 2.78-2.79

Record 6
Entry from the Alexandria database: crystalline FeCuPb4 at its relaxed geometry (PBE).

Values from the calculation:
Calculated formation energy   0.92 eV/atom
SG   F-43m
Crystal system   cubic

abc: 6.3240 6.3240 6.3240
angles: 60.00 60.00 60.00
Closest atoms and distances in Å follow each position.
Atoms (fractional coordinates):
Pb 0.3750 0.8751 0.3750  6 Pb 3.16
Pb 0.3750 0.3750 0.3750  6 Pb 3.16
Cu 0.7500 0.7500 0.7500  12 Pb 3.71, 4 Fe 3.87
Fe 0.0000 0.0000 0.0000  12 Pb 3.71, 4 Cu 3.87
Pb 0.8751 0.3750 0.3750  6 Pb 3.16
Pb 0.3750 0.3750 0.8751  6 Pb 3.16

Record 7
Entry from the Alexandria database: crystalline Fe2CuPb2 at its relaxed geometry (PBE).

Values from the calculation:
Calculated formation energy   0.50 eV/atom
Energy above the most stable polymorph in this dataset   23 meV per atom
SG   I4/mmm
Crystal system   tetragonal

abc: 3.3583 3.3583 8.8731
angles: 79.09 79.09 90.00
Closest atoms and distances in Å follow each position.
Atoms (fractional coordinates):
Fe 0.7500 0.2500 0.5000  4 Fe 2.37
Fe 0.2500 0.7500 0.5000  4 Fe 2.37
Pb 0.6098 0.6098 0.7803  4 Fe 2.93, 4 Cu 3.03
Cu 0.0000 0.0000 0.0000  8 Pb 3.03, 4 Cu 3.36
Pb 0.3902 0.3902 0.2197  4 Fe 2.93, 4 Cu 3.03

Record 8
Entry from the Alexandria database: crystalline Fe3CuPb at its relaxed geometry (PBE).

Values from the calculation:
Calculated formation energy   0.94 eV/atom
Energy above the most stable polymorph in this dataset   0 meV per atom
SG   Pm-3m
Crystal system   cubic

abc: 4.4668 4.4668 4.4668
angles: 90.00 90.00 90.00
Closest atoms and distances in Å follow each position.
Atoms (fractional coordinates):
Pb 0.5000 0.5000 0.5000  12 Fe 3.16
Fe 0.0000 0.5000 0.0000  2 Cu 2.23
Cu 0.0000 0.0000 0.0000  6 Fe 2.23
Fe 0.0000 0.0000 0.5000  2 Cu 2.23
Fe 0.5000 0.0000 0.0000  2 Cu 2.23

Record 9
Entry from the Alexandria database: crystalline FeCuPb at its relaxed geometry (PBE).

Values from the calculation:
Calculated formation energy   0.57 eV/atom
Energy above the most stable polymorph in this dataset   59 meV per atom
SG   F-43m
Crystal system   cubic

abc: 4.3302 4.3302 4.3302
angles: 60.00 60.00 60.00
Closest atoms and distances in Å follow each position.
Atoms (fractional coordinates):
Pb 0.0000 0.0000 0.0000  4 Fe 2.65
Fe 0.7500 0.7500 0.7500  4 Cu 2.65, 4 Pb 2.65
Cu 0.5000 0.5000 0.5000  4 Fe 2.65

Record 10
Entry from the Alexandria database: crystalline FeCuPb at its relaxed geometry (PBE).

Values from the calculation:
Calculated formation energy   0.52 eV/atom
Energy above the most stable polymorph in this dataset   0 meV per atom
SG   Imm2
Crystal system   orthorhombic

abc: 5.4150 5.4150 5.4150
angles: 146.50 143.15 50.65
Closest atoms and distances in Å follow each position.
Atoms (fractional coordinates):
Cu 0.9725 0.9725 0.0000  4 Fe 2.56
Pb 0.6665 0.6665 0.0000  5 Fe 2.99-3.00, 5 Cu 2.99-3.00, 2 Pb 3.12
Fe 0.3610 0.3610 0.0000  4 Cu 2.56

Record 11
Entry from the Alexandria database: crystalline Fe2CuPb at its relaxed geometry (PBE).

Values from the calculation:
Calculated formation energy   0.45 eV/atom
SG   F-43m
Crystal system   cubic

abc: 4.4105 4.4105 4.4105
angles: 60.00 60.00 60.00
Closest atoms and distances in Å follow each position.
Atoms (fractional coordinates):
Cu 0.5000 0.5000 0.5000  4 Fe 2.70, 4 Pb 2.70
Fe 0.7500 0.7500 0.7500  4 Fe 2.70, 4 Cu 2.70
Pb 0.2500 0.2500 0.2500  4 Fe 2.70, 4 Cu 2.70
Fe 0.0000 0.0000 0.0000  4 Fe 2.70, 4 Pb 2.70

Record 12
Entry from the Alexandria database: crystalline FeCu3Pb at its relaxed geometry (PBE).

Values from the calculation:
Calculated formation energy   0.78 eV/atom
Energy above the most stable polymorph in this dataset   0 meV per atom
SG   Pm-3m
Crystal system   cubic

abc: 4.5603 4.5603 4.5603
angles: 90.00 90.00 90.00
Closest atoms and distances in Å follow each position.
Atoms (fractional coordinates):
Cu 0.0000 0.0000 0.5000  2 Fe 2.28
Cu 0.5000 0.0000 0.0000  2 Fe 2.28
Cu 0.0000 0.5000 0.0000  2 Fe 2.28
Fe 0.0000 0.0000 0.0000  6 Cu 2.28
Pb 0.5000 0.5000 0.5000  12 Cu 3.22

Record 13
Entry from the Alexandria database: crystalline FeCu2PtPb at its relaxed geometry (PBE).

Values from the calculation:
Calculated formation energy   0.65 eV/atom
SG   P4/mmm
Crystal system   tetragonal

abc: 4.7716 4.7176 4.7716
angles: 90.00 90.00 90.00
Closest atoms and distances in Å follow each position.
Atoms (fractional coordinates):
Cu 0.0000 0.0000 0.5000  2 Pt 2.39
Pt 0.0000 0.0000 0.0000  2 Fe 2.36, 4 Cu 2.39
Cu 0.5000 0.0000 0.0000  2 Pt 2.39
Pb 0.5000 0.5000 0.5000  8 Cu 3.36, 4 Fe 3.37
Fe 0.0000 0.5000 0.0000  2 Pt 2.36

Record 14
Entry from the Alexandria database: crystalline RbFe2CuPb at its relaxed geometry (PBE).

Values from the calculation:
Calculated formation energy   1.00 eV/atom
SG   P4/mmm
Crystal system   tetragonal

abc: 4.9461 5.1382 4.9461
angles: 90.00 90.00 90.00
Closest atoms and distances in Å follow each position.
Atoms (fractional coordinates):
Cu 0.0000 0.0000 0.0000  4 Fe 2.47, 2 Pb 2.57
Pb 0.0000 0.5000 0.0000  2 Cu 2.57
Fe 0.5000 0.0000 0.0000  2 Cu 2.47
Fe 0.0000 0.0000 0.5000  2 Cu 2.47
Rb 0.5000 0.5000 0.5000  4 Pb 3.50, 8 Fe 3.57

Record 15
Entry from the Alexandria database: crystalline FeCuSi2Pb at its relaxed geometry (PBE).

Values from the calculation:
SG   P4/mmm
Crystal system   tetragonal
E_tot   -4.46 eV per atom

abc: 4.3960 5.5498 4.3960
angles: 90.00 90.00 90.00
Closest atoms and distances in Å follow each position.
Atoms (fractional coordinates):
Pb 0.0000 0.5000 0.0000  2 Cu 2.77
Si 0.5000 0.0000 0.0000  2 Cu 2.20
Si 0.0000 0.0000 0.5000  2 Cu 2.20
Fe 0.5000 0.5000 0.5000  4 Pb 3.11
Cu 0.0000 0.0000 0.0000  4 Si 2.20

Record 16
Entry from the Alexandria database: crystalline FeCu2PbW at its relaxed geometry (PBE).

Values from the calculation:
Calculated formation energy   1.29 eV/atom
SG   P4/mmm
Crystal system   tetragonal

abc: 4.8503 4.5000 4.8503
angles: 90.00 90.00 90.00
Closest atoms and distances in Å follow each position.
Atoms (fractional coordinates):
Cu 0.0000 0.0000 0.5000  2 W 2.43
W 0.0000 0.0000 0.0000  2 Fe 2.25, 4 Cu 2.43
Cu 0.5000 0.0000 0.0000  2 W 2.43
Pb 0.5000 0.5000 0.5000  8 Cu 3.31, 4 Fe 3.43
Fe 0.0000 0.5000 0.0000  2 W 2.25

Record 17
Entry from the Alexandria database: crystalline ZnFeCuPb2 at its relaxed geometry (PBE).

Values from the calculation:
Calculated formation energy   0.74 eV/atom
SG   P4/mmm
Crystal system   tetragonal

abc: 5.1397 4.7222 5.1397
angles: 90.00 90.00 90.00
Closest atoms and distances in Å follow each position.
Atoms (fractional coordinates):
Zn 0.5000 0.5000 0.5000  8 Pb 3.49, 4 Fe 3.63
Pb 0.0000 0.0000 0.5000  2 Cu 2.57
Cu 0.0000 0.0000 0.0000  2 Fe 2.36, 4 Pb 2.57
Pb 0.5000 0.0000 0.0000  2 Cu 2.57
Fe 0.0000 0.5000 0.0000  2 Cu 2.36

Record 18
Entry from the Alexandria database: crystalline FeCu4Pd15 at its relaxed geometry (PBE).

Values from the calculation:
Calculated formation energy   -0.07 eV/atom
SG   P4/mmm
Crystal system   tetragonal

abc: 3.8846 3.8846 19.4659
angles: 90.00 90.00 90.00
Closest atoms and distances in Å follow each position.
Atoms (fractional coordinates):
Pd 0.5000 0.0000 0.6998  4 Cu 2.75, 8 Pd 2.75
Cu 0.0000 0.0000 0.3999  12 Pd 2.75
Pd 0.0000 0.5000 0.3002  4 Cu 2.75, 8 Pd 2.75
Fe 0.0000 0.0000 0.0000  12 Pd 2.74-2.75
Pd 0.5000 0.5000 0.8002  4 Cu 2.75, 8 Pd 2.75-2.76
Pd 0.0000 0.5000 0.6998  4 Cu 2.75, 8 Pd 2.75
Pd 0.5000 0.0000 0.3002  4 Cu 2.75, 8 Pd 2.75
Pd 0.0000 0.5000 0.9008  2 Fe 2.74, 8 Pd 2.74-2.76, 2 Cu 2.76
Pd 0.5000 0.5000 0.1998  4 Cu 2.75, 8 Pd 2.75-2.76
Pd 0.5000 0.0000 0.0992  2 Fe 2.74, 8 Pd 2.74-2.76, 2 Cu 2.76
Pd 0.5000 0.5000 0.4003  8 Pd 2.75, 4 Cu 2.75
Pd 0.5000 0.5000 0.0000  8 Pd 2.74, 4 Fe 2.75
Pd 0.5000 0.0000 0.9008  2 Fe 2.74, 8 Pd 2.74-2.76, 2 Cu 2.76
Pd 0.0000 0.5000 0.5000  8 Pd 2.75, 4 Cu 2.75
Cu 0.0000 0.0000 0.2003  12 Pd 2.75-2.76
Pd 0.0000 0.5000 0.0992  2 Fe 2.74, 8 Pd 2.74-2.76, 2 Cu 2.76
Cu 0.0000 0.0000 0.6001  12 Pd 2.75
Pd 0.5000 0.5000 0.5997  8 Pd 2.75, 4 Cu 2.75
Cu 0.0000 0.0000 0.7997  12 Pd 2.75-2.76
Pd 0.5000 0.0000 0.5000  8 Pd 2.75, 4 Cu 2.75

Record 19
Entry from the Alexandria database: crystalline FeCu2Pd6 at its relaxed geometry (PBE).

Values from the calculation:
Calculated formation energy   -0.09 eV/atom
Energy above the most stable polymorph in this dataset   0 meV per atom
SG   C2/m
Crystal system   monoclinic

abc: 3.9329 4.6663 8.3072
angles: 71.24 76.31 65.08
Closest atoms and distances in Å follow each position.
Atoms (fractional coordinates):
Pd 0.9984 0.1818 0.8214  1 Fe 2.60, 3 Cu 2.67-2.70, 8 Pd 2.71-2.91
Fe 0.0000 0.5000 0.5000  8 Pd 2.60-2.75, 4 Cu 2.79
Pd 0.0016 0.8182 0.1786  1 Fe 2.60, 3 Cu 2.67-2.70, 8 Pd 2.71-2.91
Cu 0.6698 0.3839 0.2766  10 Pd 2.64-2.76, 2 Fe 2.79
Pd 0.3371 0.9298 0.3959  4 Cu 2.64-2.75, 3 Fe 2.67-2.75, 5 Pd 2.75-2.77
Pd 0.6629 0.0702 0.6041  4 Cu 2.64-2.75, 3 Fe 2.67-2.75, 5 Pd 2.75-2.77
Pd 0.3335 0.2770 0.0561  3 Cu 2.71-2.76, 9 Pd 2.71-2.83
Cu 0.3302 0.6161 0.7234  10 Pd 2.64-2.76, 2 Fe 2.79
Pd 0.6665 0.7230 0.9439  3 Cu 2.71-2.76, 9 Pd 2.71-2.83

Record 20
Entry from the Alexandria database: crystalline FeCu5Pd4 at its relaxed geometry (PBE).

Values from the calculation:
Calculated formation energy   -0.06 eV/atom
Energy above the most stable polymorph in this dataset   0 meV per atom
SG   P4/mmm
Crystal system   tetragonal

abc: 3.0232 3.0232 14.6885
angles: 90.00 90.00 90.00
Closest atoms and distances in Å follow each position.
Atoms (fractional coordinates):
Pd 0.0000 0.0000 0.3970  8 Cu 2.61-2.62
Fe 0.0000 0.0000 0.0000  8 Cu 2.51, 2 Pd 2.80
Cu 0.5000 0.5000 0.9099  4 Fe 2.51, 4 Pd 2.60, 1 Cu 2.65
Pd 0.0000 0.0000 0.1907  8 Cu 2.60-2.63, 1 Fe 2.80
Cu 0.5000 0.5000 0.7051  8 Pd 2.61-2.63
Pd 0.0000 0.0000 0.8093  8 Cu 2.60-2.63, 1 Fe 2.80
Pd 0.0000 0.0000 0.6030  8 Cu 2.61-2.62
Cu 0.5000 0.5000 0.5000  8 Pd 2.62
Cu 0.5000 0.5000 0.0901  4 Fe 2.51, 4 Pd 2.60, 1 Cu 2.65
Cu 0.5000 0.5000 0.2949  8 Pd 2.61-2.63